Density functional theory data (PBE-GGA) for a relaxed PrDy2Rh3 crystal.

Cell: 3.460 3.460 10.499 Å, 90.00 90.00 90.00°
Positions (direct):
Pr  0.000  0.000  0.000
Dy  0.000  0.000  0.337
Dy  0.000  0.000  0.663
Rh  0.500  0.500  0.180
Rh  0.500  0.500  0.500
Rh  0.500  0.500  0.820

The formation energy is -0.770 eV/atom. The calculation puts the density of states at the Fermi level at 4.021 states/eV/f.u. The calculation puts the volume at 20.953 Å³ per atom. As for the symmetry: P4/mmm, No. 123. The magnetization is 0.00 μB/f.u. For the calculated density, the calculation gives 10.2 g cm⁻³.

Density functional theory data (PBE-GGA) for a relaxed Pr3DyRh3 crystal.

Cell: 7.057 7.057 7.202 Å, 90.44 90.44 96.67°
Positions (direct):
Pr  0.180  0.820  0.000
Pr  0.252  0.748  0.500
Pr  0.332  0.332  0.125
Pr  0.668  0.668  0.875
Pr  0.748  0.252  0.500
Pr  0.820  0.180  0.000
Dy  0.238  0.238  0.627
Dy  0.762  0.762  0.373
Rh  0.012  0.498  0.775
Rh  0.064  0.064  0.306
Rh  0.498  0.012  0.775
Rh  0.502  0.988  0.225
Rh  0.936  0.936  0.694
Rh  0.988  0.502  0.225

The formation energy is -0.556 eV/atom. The calculation puts the density of states at the Fermi level at 4.796 states/eV/f.u. The calculation puts the volume at 25.440 Å³ per atom. As for the symmetry: C2/m, No. 12. The magnetization is 0.00 μB/f.u. For the calculated density, the calculation gives 8.3 g cm⁻³.

Density functional theory data (PBE-GGA) for a relaxed PrDyRh crystal.

Cell: 3.521 3.521 12.863 Å, 90.00 90.00 90.00°
Positions (direct):
Pr  0.000  0.000  0.000
Pr  0.500  0.500  0.500
Dy  0.000  0.000  0.260
Dy  0.500  0.500  0.760
Rh  0.000  0.000  0.644
Rh  0.500  0.500  0.144

The formation energy is -0.470 eV/atom. The calculation puts the density of states at the Fermi level at 3.658 states/eV/f.u. The calculation puts the volume at 26.578 Å³ per atom. As for the symmetry: I4mm, No. 107. The distance to the lowest polymorph of the same formula comes out at 0.101 eV/atom. The magnetization is 0.00 μB/f.u. For the calculated density, the calculation gives 8.5 g cm⁻³.

Density functional theory data (PBE-GGA) for a relaxed PrDy2Rh crystal.

Cell: 3.816 12.256 9.494 Å, 90.00 90.00 90.00°
Positions (direct):
Pr  0.000  0.073  0.250
Pr  0.000  0.927  0.750
Pr  0.500  0.427  0.750
Pr  0.500  0.573  0.250
Dy  0.000  0.359  0.068
Dy  0.000  0.359  0.432
Dy  0.000  0.641  0.568
Dy  0.000  0.641  0.932
Dy  0.500  0.141  0.568
Dy  0.500  0.141  0.932
Dy  0.500  0.859  0.068
Dy  0.500  0.859  0.432
Rh  0.000  0.240  0.750
Rh  0.000  0.760  0.250
Rh  0.500  0.260  0.250
Rh  0.500  0.740  0.750

The formation energy is -0.460 eV/atom. The calculation puts the density of states at the Fermi level at 5.072 states/eV/f.u. The calculation puts the volume at 27.750 Å³ per atom. As for the symmetry: Cmcm, No. 63. The distance to the lowest polymorph of the same formula comes out at 0.027 eV/atom. The magnetization is 0.00 μB/f.u. For the calculated density, the calculation gives 8.5 g cm⁻³.

Density functional theory data (PBE-GGA) for a relaxed PrDyRh crystal.

Cell: 4.095 4.095 6.297 Å, 90.00 90.00 120.00°
Positions (direct):
Pr  0.000  0.000  0.000
Dy  0.667  0.333  0.523
Rh  0.333  0.667  0.747

The formation energy is -0.465 eV/atom. The calculation puts the density of states at the Fermi level at 2.821 states/eV/f.u. The calculation puts the volume at 30.485 Å³ per atom. As for the symmetry: P3m1, No. 156. The distance to the lowest polymorph of the same formula comes out at 0.105 eV/atom. The magnetization is 0.00 μB/f.u. For the calculated density, the calculation gives 7.4 g cm⁻³.

Density functional theory data (PBE-GGA) for a relaxed PrDyRh crystal.

Cell: 5.921 4.479 6.600 Å, 90.00 106.08 90.00°
Positions (direct):
Pr  0.070  0.250  0.282
Pr  0.930  0.750  0.718
Dy  0.473  0.250  0.795
Dy  0.527  0.750  0.205
Rh  0.339  0.750  0.550
Rh  0.661  0.250  0.450

The formation energy is -0.515 eV/atom. The calculation puts the density of states at the Fermi level at 2.941 states/eV/f.u. The calculation puts the volume at 28.031 Å³ per atom. As for the symmetry: P2_1/m, No. 11. The distance to the lowest polymorph of the same formula comes out at 0.056 eV/atom. The magnetization is 0.00 μB/f.u. For the calculated density, the calculation gives 8.0 g cm⁻³.

Density functional theory data (PBE-GGA) for a relaxed PrDy3Rh crystal.

Cell: 5.433 5.433 5.433 Å, 90.00 90.00 90.00°
Positions (direct):
Pr  0.000  0.000  0.000
Dy  0.000  0.500  0.500
Dy  0.500  0.000  0.500
Dy  0.500  0.500  0.000
Rh  0.500  0.500  0.500

The formation energy is -0.258 eV/atom. The calculation puts the density of states at the Fermi level at 7.804 states/eV/f.u. The calculation puts the volume at 32.069 Å³ per atom. As for the symmetry: Pm-3m, No. 221. The magnetization is 0.82 μB/f.u. For the calculated density, the calculation gives 7.6 g cm⁻³.

Density functional theory data (PBE-GGA) for a relaxed PrDy2Rh crystal.

Cell: 3.900 3.900 27.441 Å, 90.00 90.00 120.00°
Positions (direct):
Pr  0.000  0.000  0.000
Pr  0.333  0.667  0.667
Pr  0.667  0.333  0.333
Dy  0.000  0.000  0.226
Dy  0.000  0.000  0.445
Dy  0.333  0.667  0.111
Dy  0.333  0.667  0.893
Dy  0.667  0.333  0.559
Dy  0.667  0.333  0.778
Rh  0.000  0.000  0.835
Rh  0.333  0.667  0.502
Rh  0.667  0.333  0.169

The formation energy is -0.367 eV/atom. The calculation puts the density of states at the Fermi level at 4.860 states/eV/f.u. The calculation puts the volume at 30.128 Å³ per atom. As for the symmetry: R3m, No. 160. The distance to the lowest polymorph of the same formula comes out at 0.121 eV/atom. The magnetization is 0.01 μB/f.u. For the calculated density, the calculation gives 7.8 g cm⁻³.